FeS2NO (PBE+U, relaxed); ΔE to the lowest computed polymorph = 263 meV per atom; symmetry = P4/mmm; VASP energy = -3.81 eV/atom
1.0
4.485 0.000 0.000
0.000 4.485 0.000
0.000 0.000 3.347
Fe S N O
1 2 1 1
direct
0.000 0.000 0.000
0.000 0.500 0.000
0.500 0.000 0.000
0.000 0.000 0.500
0.500 0.500 0.500